Record 1
A relaxed structure of Y6Ag3Hg. Source: Alexandria via LeMat-Bulk, functional PBE-GGA.

Geometry as POSCAR:
```
Y6Ag3Hg
1.0
9.2828 0.0000 0.0000
0.0000 4.9912 0.0000
-3.3395 0.0000 11.5452
Y Ag Hg
12 6 2
Cartesian
-0.2054 1.2478 1.3117 Y
-1.0377 1.2478 8.3113 Y
0.2084 3.7434 6.0318 Y
2.7989 3.7434 1.3493 Y
2.3029 1.2478 4.1828 Y
0.7773 3.7434 9.7848 Y
5.1660 1.2478 1.7604 Y
3.6404 3.7434 7.3624 Y
3.1444 1.2478 10.1959 Y
5.7349 1.2478 5.5134 Y
6.9810 3.7434 3.2339 Y
6.1487 3.7434 10.2335 Y
-0.7882 1.2478 4.2565 Ag
0.6032 3.7434 3.1385 Ag
-0.7329 1.2478 11.2696 Ag
6.6762 3.7434 0.2755 Ag
5.3401 1.2478 8.4067 Ag
6.7315 3.7434 7.2887 Ag
1.8222 1.2478 7.3881 Hg
4.1211 3.7434 4.1571 Hg
```

Output
Its space group is P2_1/m, No. 11. For the calculated volume, the calculation gives 26.7 Å³ per atom. For the formation energy, the calculation gives -0.26 eV/atom.

Record 2
A relaxed structure of Y3AgHg12. Source: Alexandria via LeMat-Bulk, functional PBE-GGA.

Geometry as POSCAR:
```
Y3AgHg12
1.0
4.5869 0.0000 0.0000
0.0000 4.5869 0.0000
0.0000 0.0000 18.1951
Y Ag Hg
3 1 12
Cartesian
0.0000 0.0000 0.0000 Y
0.0000 0.0000 4.7752 Y
0.0000 0.0000 13.4198 Y
0.0000 0.0000 9.0975 Ag
0.0000 2.2934 2.3377 Hg
0.0000 2.2934 6.9598 Hg
0.0000 2.2934 11.2352 Hg
0.0000 2.2934 15.8574 Hg
2.2934 0.0000 2.3377 Hg
2.2934 0.0000 6.9598 Hg
2.2934 0.0000 11.2352 Hg
2.2934 0.0000 15.8574 Hg
2.2934 2.2934 0.0000 Hg
2.2934 2.2934 4.6298 Hg
2.2934 2.2934 9.0975 Hg
2.2934 2.2934 13.5653 Hg
```

Output
Its space group is P4/mmm, No. 123. For the calculated volume, the calculation gives 23.9 Å³ per atom. For the formation energy, the calculation gives -0.24 eV/atom.

Record 3
A relaxed structure of YAg2Hg. Source: Alexandria via LeMat-Bulk, functional PBE-GGA.

Geometry as POSCAR:
```
YAg2Hg
1.0
8.1738 0.0000 0.0000
0.0000 7.9620 0.0000
0.0000 0.0000 5.6064
Y Ag Hg
4 8 4
Cartesian
0.4164 1.9905 0.6296 Y
3.6705 5.9715 3.4328 Y
4.5033 1.9905 2.1736 Y
7.7573 5.9715 4.9768 Y
1.6910 0.4866 3.2438 Ag
1.6910 3.4944 3.2438 Ag
2.3959 4.4677 0.4406 Ag
2.3959 7.4754 0.4406 Ag
5.7779 0.4866 5.1658 Ag
5.7779 3.4944 5.1658 Ag
6.4828 4.4677 2.3626 Ag
6.4828 7.4754 2.3626 Ag
0.7873 5.9715 2.2306 Hg
3.2996 1.9905 5.0338 Hg
4.8742 5.9715 0.5725 Hg
7.3865 1.9905 3.3757 Hg
```

Output
Its space group is Pnma, No. 62. For the calculated volume, the calculation gives 22.8 Å³ per atom. For the formation energy, the calculation gives -0.19 eV/atom.

Record 4
A relaxed structure of Y2Ag3Hg3. Source: Alexandria via LeMat-Bulk, functional PBE-GGA.

Geometry as POSCAR:
```
Y2Ag3Hg3
1.0
2.5000 1.4434 8.1312
-2.5000 1.4434 8.1312
0.0000 -2.8868 8.1312
Y Ag Hg
2 3 3
Cartesian
0.0000 0.0000 0.0000 Y
0.0000 0.0000 12.1780 Y
0.0000 0.0000 3.0458 Ag
0.0000 0.0000 6.0500 Ag
0.0000 0.0000 18.3123 Ag
0.0000 0.0000 9.1554 Hg
0.0000 0.0000 15.2451 Hg
0.0000 0.0000 21.2989 Hg
```

Output
Its space group is R3m, No. 160. For the calculated volume, the calculation gives 22.0 Å³ per atom. For the formation energy, the calculation gives -0.31 eV/atom.

Record 5
A relaxed structure of YAg2Hg. Source: Alexandria via LeMat-Bulk, functional PBE-GGA.

Geometry as POSCAR:
```
YAg2Hg
1.0
4.4962 0.0000 0.0000
0.0000 4.4962 0.0000
0.0000 0.0000 4.4271
Y Ag Hg
1 2 1
Cartesian
0.0000 0.0000 0.0000 Y
0.0000 2.2481 2.2136 Ag
2.2481 0.0000 2.2136 Ag
2.2481 2.2481 0.0000 Hg
```

Output
Its space group is P4/mmm, No. 123. For the calculated volume, the calculation gives 22.4 Å³ per atom. For the formation energy, the calculation gives -0.18 eV/atom.

Record 6
A relaxed structure of Y4Ag3Hg2. Source: Alexandria via LeMat-Bulk, functional PBE-GGA.

Geometry as POSCAR:
```
Y4Ag3Hg2
1.0
4.8291 -2.4706 0.0000
4.8291 2.4706 0.0000
-1.5840 0.0000 9.1476
Y Ag Hg
4 3 2
Cartesian
-0.0410 0.0000 3.0629 Y
3.2272 0.0000 0.9586 Y
4.8470 0.0000 8.1889 Y
8.1152 0.0000 6.0846 Y
0.0000 0.0000 0.0000 Ag
2.7565 0.0000 4.0502 Ag
5.3177 0.0000 5.0974 Ag
1.4976 0.0000 6.8753 Hg
6.5766 0.0000 2.2723 Hg
```

Output
Its space group is C2/m, No. 12. For the calculated volume, the calculation gives 24.3 Å³ per atom. For the formation energy, the calculation gives -0.32 eV/atom.

Record 7
A relaxed structure of YZrAgHg. Source: Alexandria via LeMat-Bulk, functional PBE-GGA.

Geometry as POSCAR:
```
YZrAgHg
1.0
0.0000 3.5864 3.5864
3.5864 0.0000 3.5864
3.5864 3.5864 0.0000
Y Zr Ag Hg
1 1 1 1
Cartesian
0.0000 0.0000 0.0000 Y
3.5864 3.5864 3.5864 Zr
1.7932 1.7932 1.7932 Ag
5.3797 5.3797 5.3797 Hg
```

Output
Its space group is F-43m, No. 216. For the calculated volume, the calculation gives 23.1 Å³ per atom. For the formation energy, the calculation gives -0.19 eV/atom.

Record 8
A relaxed structure of YbAgHg2. Source: Alexandria via LeMat-Bulk, functional PBE-GGA.

Geometry as POSCAR:
```
YbAgHg2
1.0
0.0000 3.5687 3.5687
3.5687 0.0000 3.5687
3.5687 3.5687 0.0000
Yb Ag Hg
1 1 2
Cartesian
0.0000 0.0000 0.0000 Yb
3.5687 3.5687 3.5687 Ag
1.7844 1.7844 1.7844 Hg
5.3531 5.3531 5.3531 Hg
```

Output
Its space group is Fm-3m, No. 225. For the calculated volume, the calculation gives 22.7 Å³ per atom. For the formation energy, the calculation gives -0.40 eV/atom.